# 1
The following is a DFT calculation (PBE) of crystalline BaSiSeN2 at its relaxed geometry.

Values from the calculation:
The density of states at the Fermi level comes out at 3.99 states/eV/f.u. The value obtained for the raw formation energy is 1139 meV/atom. The value obtained for the total energy is -21.79 eV for the cell shown.

Cell lengths 4.462, 4.462, 4.639 Å; angles 90.00, 90.00, 90.00 degrees
Space group P4/mmm (No. 123)
Symmetry-distinct sites (fractional):
Ba: 0.000 0.000 0.000
Si: 0.500 0.500 0.000
Se: 0.500 0.500 0.500
N: 0.000 0.500 0.500

---

# 2
The following is a DFT calculation (PBE) of crystalline BaSnSeN2 at its relaxed geometry.

Values from the calculation:
The density of states at the Fermi level comes out at 4.08 states/eV/f.u. The value obtained for the raw formation energy is 1308 meV/atom. The value obtained for the total energy is -19.52 eV for the cell shown.

Cell lengths 4.652, 4.652, 6.590 Å; angles 90.00, 90.00, 90.00 degrees
Space group P4/mmm (No. 123)
Symmetry-distinct sites (fractional):
Ba: 0.000 0.000 0.000
Sn: 0.500 0.500 0.500
Se: 0.000 0.000 0.500
N: 0.000 0.500 0.000

---

# 3
The following is a DFT calculation (PBE) of crystalline BaSnSeN2 at its relaxed geometry.

Values from the calculation:
The density of states at the Fermi level comes out at 2.73 states/eV/f.u. The value obtained for the raw formation energy is 262 meV/atom. The value obtained for the total energy is -24.75 eV for the cell shown.

Cell lengths 4.440, 4.440, 5.459 Å; angles 90.00, 90.00, 90.00 degrees
Space group P4/mmm (No. 123)
Symmetry-distinct sites (fractional):
Ba: 0.000 0.000 0.000
Sn: 0.500 0.500 0.500
Se: 0.500 0.500 0.000
N: 0.000 0.500 0.500

---

# 4
The following is a DFT calculation (PBE) of crystalline BaSrSeN2 at its relaxed geometry.

Values from the calculation:
The density of states at the Fermi level comes out at 2.06 states/eV/f.u. The value obtained for the raw formation energy is 266 meV/atom. The value obtained for the total energy is -22.41 eV for the cell shown.

Cell lengths 4.913, 4.913, 5.984 Å; angles 90.00, 90.00, 90.00 degrees
Space group P4/mmm (No. 123)
Symmetry-distinct sites (fractional):
Ba: 0.000 0.000 0.000
Sr: 0.500 0.500 0.500
Se: 0.500 0.500 0.000
N: 0.000 0.500 0.500

---

# 5
The following is a DFT calculation (PBE) of crystalline BaSrSeN2 at its relaxed geometry.

Values from the calculation:
The density of states at the Fermi level comes out at 4.47 states/eV/f.u. The value obtained for the raw formation energy is 548 meV/atom. The value obtained for the total energy is -21.00 eV for the cell shown.

Cell lengths 4.744, 4.744, 6.509 Å; angles 90.00, 90.00, 90.00 degrees
Space group P4/mmm (No. 123)
Symmetry-distinct sites (fractional):
Ba: 0.000 0.000 0.000
Sr: 0.500 0.500 0.500
Se: 0.000 0.000 0.500
N: 0.000 0.500 0.000

---

# 6
The following is a DFT calculation (PBE) of crystalline BaTaSe2N at its relaxed geometry.

Values from the calculation:
The density of states at the Fermi level comes out at 6.48 states/eV/f.u. The value obtained for the raw formation energy is 1745 meV/atom. The value obtained for the total energy is -20.35 eV for the cell shown.

Cell lengths 5.781, 5.781, 4.148 Å; angles 90.00, 90.00, 90.00 degrees
Space group P4/mmm (No. 123)
Symmetry-distinct sites (fractional):
Ba: 0.000 0.000 0.000
Ta: 0.500 0.500 0.500
Se: 0.000 0.500 0.000
N: 0.000 0.000 0.500

---

# 7
The following is a DFT calculation (PBE) of crystalline BaTaSeN2 at its relaxed geometry.

Values from the calculation:
The density of states at the Fermi level comes out at 1.99 states/eV/f.u. The value obtained for the raw formation energy is -634 meV/atom. The value obtained for the total energy is -37.08 eV for the cell shown.

Cell lengths 4.252, 4.252, 5.268 Å; angles 90.00, 90.00, 90.00 degrees
Space group P4/mmm (No. 123)
Symmetry-distinct sites (fractional):
Ba: 0.000 0.000 0.000
Ta: 0.500 0.500 0.500
Se: 0.500 0.500 0.000
N: 0.000 0.500 0.500

---

# 8
The following is a DFT calculation (PBE) of crystalline BaTaSeN2 at its relaxed geometry.

Values from the calculation:
The density of states at the Fermi level comes out at 5.59 states/eV/f.u. The value obtained for the raw formation energy is 2100 meV/atom. The value obtained for the total energy is -23.41 eV for the cell shown.

Cell lengths 4.428, 4.428, 6.176 Å; angles 90.00, 90.00, 90.00 degrees
Space group P4/mmm (No. 123)
Symmetry-distinct sites (fractional):
Ba: 0.000 0.000 0.000
Ta: 0.500 0.500 0.500
Se: 0.000 0.000 0.500
N: 0.000 0.500 0.000

---

# 9
The following is a DFT calculation (PBE) of crystalline BaTaSe2N at its relaxed geometry.

Values from the calculation:
The density of states at the Fermi level comes out at 0.85 states/eV/f.u. The value obtained for the raw formation energy is -1030 meV/atom. The value obtained for the total energy is -34.22 eV for the cell shown.

Cell lengths 5.308, 5.308, 4.035 Å; angles 90.00, 90.00, 90.00 degrees
Space group P4/mmm (No. 123)
Symmetry-distinct sites (fractional):
Ba: 0.000 0.000 0.000
Ta: 0.500 0.500 0.500
Se: 0.000 0.500 0.500
N: 0.500 0.500 0.000

---

# 10
The following is a DFT calculation (PBE) of crystalline BaTcSeN2 at its relaxed geometry.

Values from the calculation:
The density of states at the Fermi level comes out at 4.29 states/eV/f.u. The value obtained for the raw formation energy is -30 meV/atom. The value obtained for the total energy is -32.57 eV for the cell shown.

Cell lengths 4.136, 4.136, 5.228 Å; angles 90.00, 90.00, 90.00 degrees
Space group P4/mmm (No. 123)
Symmetry-distinct sites (fractional):
Ba: 0.000 0.000 0.000
Tc: 0.500 0.500 0.500
Se: 0.500 0.500 0.000
N: 0.000 0.500 0.500

---

# 11
The following is a DFT calculation (PBE) of crystalline BaTcSeN2 at its relaxed geometry.

Values from the calculation:
The density of states at the Fermi level comes out at 2.65 states/eV/f.u. The value obtained for the raw formation energy is 2098 meV/atom. The value obtained for the total energy is -21.93 eV for the cell shown.

Cell lengths 4.332, 4.332, 6.575 Å; angles 90.00, 90.00, 90.00 degrees
Space group P4/mmm (No. 123)
Symmetry-distinct sites (fractional):
Ba: 0.000 0.000 0.000
Tc: 0.500 0.500 0.500
Se: 0.000 0.000 0.500
N: 0.000 0.500 0.000

---

# 12
The following is a DFT calculation (PBE) of crystalline BaTeSe2N at its relaxed geometry.

Values from the calculation:
The density of states at the Fermi level comes out at 8.77 states/eV/f.u. The value obtained for the raw formation energy is 1084 meV/atom. The value obtained for the total energy is -14.94 eV for the cell shown.

Cell lengths 6.089, 6.089, 4.327 Å; angles 90.00, 90.00, 90.00 degrees
Space group P4/mmm (No. 123)
Symmetry-distinct sites (fractional):
Ba: 0.000 0.000 0.000
Te: 0.500 0.500 0.500
Se: 0.000 0.500 0.000
N: 0.000 0.000 0.500

---

# 13
The following is a DFT calculation (PBE) of crystalline BaTe2SeN at its relaxed geometry.

Values from the calculation:
The density of states at the Fermi level comes out at 2.84 states/eV/f.u. The value obtained for the raw formation energy is 100 meV/atom. The value obtained for the total energy is -19.51 eV for the cell shown.

Cell lengths 6.104, 6.104, 3.807 Å; angles 90.00, 90.00, 90.00 degrees
Space group P4/mmm (No. 123)
Symmetry-distinct sites (fractional):
Ba: 0.000 0.000 0.000
Te: 0.000 0.500 0.500
Se: 0.500 0.500 0.500
N: 0.500 0.500 0.000

---

# 14
The following is a DFT calculation (PBE) of crystalline BaTe2SeN at its relaxed geometry.

Values from the calculation:
The density of states at the Fermi level comes out at 6.04 states/eV/f.u. The value obtained for the raw formation energy is 1178 meV/atom. The value obtained for the total energy is -14.12 eV for the cell shown.

Cell lengths 6.615, 6.615, 4.685 Å; angles 90.00, 90.00, 90.00 degrees
Space group P4/mmm (No. 123)
Symmetry-distinct sites (fractional):
Ba: 0.000 0.000 0.000
Te: 0.000 0.500 0.000
Se: 0.500 0.500 0.500
N: 0.000 0.000 0.500

---

# 15
The following is a DFT calculation (PBE) of crystalline BaTeSe2N at its relaxed geometry.

Values from the calculation:
The density of states at the Fermi level comes out at 3.69 states/eV/f.u. The value obtained for the raw formation energy is -188 meV/atom. The value obtained for the total energy is -21.30 eV for the cell shown.

Cell lengths 5.583, 5.583, 4.169 Å; angles 90.00, 90.00, 90.00 degrees
Space group P4/mmm (No. 123)
Symmetry-distinct sites (fractional):
Ba: 0.000 0.000 0.000
Te: 0.500 0.500 0.500
Se: 0.000 0.500 0.500
N: 0.500 0.500 0.000

---

# 16
The following is a DFT calculation (PBE) of crystalline BaTlSe2N at its relaxed geometry.

Values from the calculation:
The density of states at the Fermi level comes out at 5.66 states/eV/f.u. The value obtained for the raw formation energy is 490 meV/atom. The value obtained for the total energy is -17.13 eV for the cell shown.

Cell lengths 6.244, 6.244, 5.329 Å; angles 90.00, 90.00, 90.00 degrees
Space group P4/mmm (No. 123)
Symmetry-distinct sites (fractional):
Ba: 0.000 0.000 0.000
Tl: 0.500 0.500 0.500
Se: 0.000 0.500 0.000
N: 0.000 0.000 0.500

---

# 17
The following is a DFT calculation (PBE) of crystalline BaTlSe2N at its relaxed geometry.

Values from the calculation:
The density of states at the Fermi level comes out at 1.77 states/eV/f.u. The value obtained for the raw formation energy is -11 meV/atom. The value obtained for the total energy is -19.64 eV for the cell shown.

Cell lengths 5.600, 5.600, 4.512 Å; angles 90.00, 90.00, 90.00 degrees
Space group P4/mmm (No. 123)
Symmetry-distinct sites (fractional):
Ba: 0.000 0.000 0.000
Tl: 0.500 0.500 0.500
Se: 0.000 0.500 0.500
N: 0.500 0.500 0.000

---

# 18
The following is a DFT calculation (PBE) of crystalline BaVSe2N at its relaxed geometry.

Values from the calculation:
The density of states at the Fermi level comes out at 9.44 states/eV/f.u. The value obtained for the raw formation energy is 1496 meV/atom. The value obtained for the total energy is -18.86 eV for the cell shown.

Cell lengths 5.941, 5.941, 4.659 Å; angles 90.00, 90.00, 90.00 degrees
Space group P4/mmm (No. 123)
Symmetry-distinct sites (fractional):
Ba: 0.000 0.000 0.000
V: 0.500 0.500 0.500
Se: 0.000 0.500 0.000
N: 0.000 0.000 0.500

---

# 19
The following is a DFT calculation (PBE) of crystalline BaVSe2N at its relaxed geometry.

Values from the calculation:
The density of states at the Fermi level comes out at 3.09 states/eV/f.u. The value obtained for the raw formation energy is -814 meV/atom. The value obtained for the total energy is -30.40 eV for the cell shown.

Cell lengths 5.254, 5.254, 3.795 Å; angles 90.00, 90.00, 90.00 degrees
Space group P4/mmm (No. 123)
Symmetry-distinct sites (fractional):
Ba: 0.000 0.000 0.000
V: 0.500 0.500 0.500
Se: 0.000 0.500 0.500
N: 0.500 0.500 0.000

---

# 20
The following is a DFT calculation (PBE) of crystalline BaWSe2N at its relaxed geometry.

Values from the calculation:
The density of states at the Fermi level comes out at 6.89 states/eV/f.u. The value obtained for the raw formation energy is 2210 meV/atom. The value obtained for the total energy is -19.12 eV for the cell shown.

Cell lengths 5.879, 5.879, 4.357 Å; angles 90.00, 90.00, 90.00 degrees
Space group P4/mmm (No. 123)
Symmetry-distinct sites (fractional):
Ba: 0.000 0.000 0.000
W: 0.500 0.500 0.500
Se: 0.000 0.500 0.000
N: 0.000 0.000 0.500

---

Total magnetization readings, ordered: 0.4, 2.3, 2.1, 4.0, 2.3, 0.0, 0.8, 0.7, 0.0, 0.0, 5.0, 0.2, 0.0, 2.2, 0.6, 4.0, 2.1, 1.6, 0.0, 1.3 μB/f.u.